Record 1
Density functional theory data (GGA-PBE) for crystalline DyY2Er3Bi2Os at its relaxed geometry.

raw total energy	-55.253	eV/f.u.
magnetic moment	0.028	Bohr magnetons per cell

Cell lengths 4.2250, 8.2759, 8.2759 Å; angles 120.00, 90.00, 90.00 degrees
Last column: nearest neighbours and their distance in Å.
Fractional coordinates of all 9 atoms:
Bi: 0.5000 0.6667 0.3334  2 Y 3.23, 1 Dy 3.24, 6 Er 3.33
Bi: 0.5000 0.3334 0.6667  2 Y 3.23, 1 Dy 3.24, 6 Er 3.33
Dy: 0.5000 0.2350 0.2350  2 Os 2.86
Er: 0.0000 0.3851 0.0004  1 Os 3.18, 4 Bi 3.33, 2 Dy 3.49, 2 Y 3.49
Er: 0.0000 0.0004 0.3851  1 Os 3.18, 4 Bi 3.33, 2 Dy 3.49, 2 Y 3.49
Er: 0.0000 0.6147 0.6147  1 Os 3.20, 4 Bi 3.33, 4 Y 3.50
Os: 0.0000 0.0012 0.0012  2 Dy 2.86, 4 Y 2.88, 3 Er 3.18-3.20
Y: 0.5000 0.7633 0.0001  2 Os 2.88
Y: 0.5000 0.0001 0.7633  2 Os 2.88

=====

Record 2
Density functional theory data (GGA-PBE) for crystalline Dy3Y2ErBi2Os at its relaxed geometry.

raw total energy	-55.545	eV/f.u.
magnetic moment	0.054	Bohr magnetons per cell

Cell lengths 4.2380, 8.2870, 8.2870 Å; angles 119.86, 90.00, 90.00 degrees
Last column: nearest neighbours and their distance in Å.
Fractional coordinates of all 9 atoms:
Bi: 0.0000 0.6666 0.3343  2 Y 3.25-3.26, 1 Er 3.25, 6 Dy 3.32-3.34
Bi: 0.0000 0.3343 0.6666  2 Y 3.25-3.26, 1 Er 3.25, 6 Dy 3.32-3.34
Dy: 0.5000 0.3886 0.3886  1 Os 3.26, 4 Bi 3.32, 4 Y 3.52
Dy: 0.5000 0.9992 0.6128  1 Os 3.19, 4 Bi 3.33-3.34, 2 Er 3.50, 2 Y 3.52
Dy: 0.5000 0.6128 0.9992  1 Os 3.19, 4 Bi 3.33-3.34, 2 Er 3.50, 2 Y 3.52
Er: 0.0000 0.7671 0.7671  2 Os 2.85
Os: 0.5000 0.9964 0.9964  2 Er 2.85, 4 Y 2.89
Y: 0.0000 0.2351 0.0000  2 Os 2.89
Y: 0.0000 0.0000 0.2351  2 Os 2.89

=====

Record 3
Density functional theory data (GGA-PBE) for crystalline DyErZr2Bi2 at its relaxed geometry.

raw total energy	-37.595	eV/f.u.
magnetic moment	0.208	Bohr magnetons per cell

Cell lengths 8.9548, 8.9548, 8.9548 Å; angles 152.07, 152.07, 39.92 degrees
Last column: nearest neighbours and their distance in Å.
Fractional coordinates of all 6 atoms:
Bi: 0.1357 0.1357 0.0000  4 Er 3.13, 4 Zr 3.14, 1 Dy 3.17
Bi: 0.8644 0.8644 0.0000  4 Dy 3.13, 4 Zr 3.15, 1 Er 3.19
Dy: 0.3242 0.3242 0.0000  5 Bi 3.13-3.17
Er: 0.6752 0.6752 0.0000  5 Bi 3.13-3.19
Zr: 0.5002 0.0002 0.5000  4 Zr 3.06, 4 Bi 3.14-3.15
Zr: 0.0002 0.5002 0.5000  4 Zr 3.06, 4 Bi 3.14-3.15

=====

Record 4
Density functional theory data (GGA-PBE) for crystalline DyBi2O4F at its relaxed geometry.

raw total energy	-51.818	eV/f.u.
magnetic moment	0.001	Bohr magnetons per cell

Cell lengths 3.8009, 3.8009, 8.4509 Å; angles 90.00, 90.00, 90.00 degrees
Last column: nearest neighbours and their distance in Å.
Fractional coordinates of all 8 atoms:
Bi: 0.5000 0.5000 0.2992  4 O 2.22
Bi: 0.5000 0.5000 0.7008  4 O 2.22
Dy: 0.0000 0.0000 0.0000  8 O 2.35
F: 0.0000 0.0000 0.5000  8 Bi 3.18, 8 O 3.42
O: 0.5000 0.0000 0.1640  2 Bi 2.22, 2 Dy 2.35
O: 0.0000 0.5000 0.1640  2 Bi 2.22, 2 Dy 2.35
O: 0.5000 0.0000 0.8360  2 Bi 2.22, 2 Dy 2.35
O: 0.0000 0.5000 0.8360  2 Bi 2.22, 2 Dy 2.35

=====

Record 5
Density functional theory data (GGA-PBE) for crystalline Dy3Hf3FeBi2 at its relaxed geometry.

energy above the most stable polymorph in this dataset	0.0	meV per atom
raw total energy	-63.681	eV/f.u.
magnetic moment	2.725	Bohr magnetons per cell

Cell lengths 7.9626, 7.9626, 4.1005 Å; angles 90.00, 90.00, 120.00 degrees
Last column: nearest neighbours and their distance in Å.
Fractional coordinates of all 9 atoms:
Bi: 0.6667 0.3333 0.0000  6 Dy 3.20-3.21, 3 Hf 3.23
Bi: 0.3333 0.6667 0.0000  6 Dy 3.20-3.21, 3 Hf 3.23
Dy: 0.6113 0.0000 0.5000  1 Fe 3.10, 4 Bi 3.20, 4 Hf 3.38
Dy: 0.3887 0.3887 0.5000  1 Fe 3.10, 4 Bi 3.20, 4 Hf 3.38
Dy: 0.0000 0.6113 0.5000  1 Fe 3.10, 4 Bi 3.21, 4 Hf 3.38
Fe: 0.0000 0.0000 0.5000  6 Hf 2.68
Hf: 0.2159 0.0000 0.0000  2 Fe 2.68, 2 Hf 2.98
Hf: 0.0000 0.2159 0.0000  2 Fe 2.68, 2 Hf 2.98
Hf: 0.7841 0.7841 0.0000  2 Fe 2.68, 2 Hf 2.98

=====

Record 6
Density functional theory data (GGA-PBE) for crystalline Dy3Hf3FeBi2 at its relaxed geometry.

energy above the most stable polymorph in this dataset	305.9	meV per atom
raw total energy	-60.928	eV/f.u.
magnetic moment	1.108	Bohr magnetons per cell

Cell lengths 8.1636, 8.1636, 3.7734 Å; angles 90.00, 90.00, 120.00 degrees
Last column: nearest neighbours and their distance in Å.
Fractional coordinates of all 9 atoms:
Bi: 0.6667 0.3333 0.0000  3 Dy 3.15, 6 Hf 3.16
Bi: 0.3333 0.6667 0.0000  3 Dy 3.15, 6 Hf 3.16
Dy: 0.2433 0.0000 0.0000  2 Fe 2.74
Dy: 0.0000 0.2433 0.0000  2 Fe 2.74
Dy: 0.7567 0.7567 0.0000  2 Fe 2.74
Fe: 0.0000 0.0000 0.5000  6 Dy 2.74
Hf: 0.6154 0.0000 0.5000  1 Fe 3.14, 4 Bi 3.16, 4 Dy 3.34
Hf: 0.3846 0.3846 0.5000  1 Fe 3.14, 4 Bi 3.16, 4 Dy 3.34
Hf: 0.0000 0.6154 0.5000  1 Fe 3.14, 4 Bi 3.16, 4 Dy 3.34

=====

Record 7
Density functional theory data (GGA-PBE) for crystalline Dy3Lu3FeBi2 at its relaxed geometry.

energy above the most stable polymorph in this dataset	82.4	meV per atom
raw total energy	-47.196	eV/f.u.
magnetic moment	0.036	Bohr magnetons per cell

Cell lengths 8.2368, 8.2368, 4.1085 Å; angles 90.00, 90.00, 120.00 degrees
Last column: nearest neighbours and their distance in Å.
Fractional coordinates of all 9 atoms:
Bi: 0.6667 0.3333 0.5000  3 Dy 3.24, 6 Lu 3.28
Bi: 0.3333 0.6667 0.5000  3 Dy 3.24, 6 Lu 3.28
Dy: 0.7679 0.0000 0.5000  2 Fe 2.81
Dy: 0.2321 0.2321 0.5000  2 Fe 2.81
Dy: 0.0000 0.7679 0.5000  2 Fe 2.81
Fe: 0.0000 0.0000 0.0000  6 Dy 2.81
Lu: 0.3841 0.0000 0.0000  1 Fe 3.16, 4 Bi 3.28, 4 Dy 3.44
Lu: 0.0000 0.3841 0.0000  1 Fe 3.16, 4 Bi 3.28, 4 Dy 3.44
Lu: 0.6159 0.6159 0.0000  1 Fe 3.16, 4 Bi 3.28, 4 Dy 3.44

=====

Record 8
Density functional theory data (GGA-PBE) for crystalline Dy3Lu3FeBi2 at its relaxed geometry.

energy above the most stable polymorph in this dataset	0.0	meV per atom
raw total energy	-47.938	eV/f.u.
magnetic moment	0.003	Bohr magnetons per cell

Cell lengths 8.2129, 8.2129, 4.1414 Å; angles 90.00, 90.00, 120.00 degrees
Last column: nearest neighbours and their distance in Å.
Fractional coordinates of all 9 atoms:
Bi: 0.6667 0.3333 0.5000  3 Lu 3.27, 6 Dy 3.28
Bi: 0.3333 0.6667 0.5000  3 Lu 3.27, 6 Dy 3.28
Dy: 0.3882 0.0000 0.0000  1 Fe 3.19, 4 Bi 3.28, 4 Lu 3.46
Dy: 0.0000 0.3882 0.0000  1 Fe 3.19, 4 Bi 3.28, 4 Lu 3.46
Dy: 0.6118 0.6118 0.0000  1 Fe 3.19, 4 Bi 3.28, 4 Lu 3.46
Fe: 0.0000 0.0000 0.0000  6 Lu 2.78
Lu: 0.7734 0.0000 0.5000  2 Fe 2.78
Lu: 0.2266 0.2266 0.5000  2 Fe 2.78
Lu: 0.0000 0.7734 0.5000  2 Fe 2.78

=====

Record 9
Density functional theory data (GGA-PBE) for crystalline Dy3Sc3FeBi2 at its relaxed geometry.

energy above the most stable polymorph in this dataset	152.6	meV per atom
raw total energy	-52.283	eV/f.u.
magnetic moment	0.638	Bohr magnetons per cell

Cell lengths 8.1815, 8.1815, 3.9653 Å; angles 90.00, 90.00, 120.00 degrees
Last column: nearest neighbours and their distance in Å.
Fractional coordinates of all 9 atoms:
Bi: 0.6667 0.3333 0.5000  3 Dy 3.19, 6 Sc 3.22
Bi: 0.3333 0.6667 0.5000  3 Dy 3.19, 6 Sc 3.22
Dy: 0.2372 0.0000 0.5000  2 Fe 2.77
Dy: 0.0000 0.2372 0.5000  2 Fe 2.77
Dy: 0.7628 0.7628 0.5000  2 Fe 2.77
Fe: 0.0000 0.0000 0.0000  6 Dy 2.77
Sc: 0.6144 0.0000 0.0000  1 Fe 3.15, 4 Bi 3.22, 4 Dy 3.39
Sc: 0.3856 0.3856 0.0000  1 Fe 3.15, 4 Bi 3.22, 4 Dy 3.39
Sc: 0.0000 0.6144 0.0000  1 Fe 3.15, 4 Bi 3.22, 4 Dy 3.39

=====

Record 10
Density functional theory data (GGA-PBE) for crystalline Dy3Sc3FeBi2 at its relaxed geometry.

energy above the most stable polymorph in this dataset	0.0	meV per atom
raw total energy	-53.657	eV/f.u.
magnetic moment	0.487	Bohr magnetons per cell

Cell lengths 7.9839, 7.9839, 4.1286 Å; angles 90.00, 90.00, 120.00 degrees
Last column: nearest neighbours and their distance in Å.
Fractional coordinates of all 9 atoms:
Bi: 0.6667 0.3333 0.5000  3 Sc 3.21, 6 Dy 3.23
Bi: 0.3333 0.6667 0.5000  3 Sc 3.21, 6 Dy 3.23
Dy: 0.6148 0.0000 0.0000  1 Fe 3.08, 4 Bi 3.23, 4 Sc 3.38
Dy: 0.3852 0.3852 0.0000  1 Fe 3.08, 4 Bi 3.23, 4 Sc 3.38
Dy: 0.0000 0.6148 0.0000  1 Fe 3.08, 4 Bi 3.23, 4 Sc 3.38
Fe: 0.0000 0.0000 0.0000  6 Sc 2.72
Sc: 0.2210 0.0000 0.5000  2 Fe 2.72
Sc: 0.0000 0.2210 0.5000  2 Fe 2.72
Sc: 0.7790 0.7790 0.5000  2 Fe 2.72

=====

Record 11
Density functional theory data (GGA-PBE) for crystalline Dy3Zr3FeBi2 at its relaxed geometry.

energy above the most stable polymorph in this dataset	0.0	meV per atom
raw total energy	-59.561	eV/f.u.
magnetic moment	2.790	Bohr magnetons per cell

Cell lengths 8.0183, 8.0183, 4.0991 Å; angles 90.00, 90.00, 120.00 degrees
Last column: nearest neighbours and their distance in Å.
Fractional coordinates of all 9 atoms:
Bi: 0.6667 0.3333 0.5000  6 Dy 3.21, 3 Zr 3.22
Bi: 0.3333 0.6667 0.5000  6 Dy 3.21, 3 Zr 3.22
Dy: 0.3912 0.0000 0.0000  1 Fe 3.14, 4 Bi 3.21, 4 Zr 3.41
Dy: 0.0000 0.3912 0.0000  1 Fe 3.14, 4 Bi 3.21, 4 Zr 3.41
Dy: 0.6088 0.6088 0.0000  1 Fe 3.14, 4 Bi 3.21, 4 Zr 3.41
Fe: 0.0000 0.0000 0.0000  6 Zr 2.71
Zr: 0.7797 0.0000 0.5000  2 Fe 2.71
Zr: 0.2203 0.2203 0.5000  2 Fe 2.71
Zr: 0.0000 0.7797 0.5000  2 Fe 2.71

=====

Record 12
Density functional theory data (GGA-PBE) for crystalline Dy3Zr3FeBi2 at its relaxed geometry.

energy above the most stable polymorph in this dataset	199.2	meV per atom
raw total energy	-57.768	eV/f.u.
magnetic moment	0.874	Bohr magnetons per cell

Cell lengths 8.1833, 8.1833, 3.7976 Å; angles 90.00, 90.00, 120.00 degrees
Last column: nearest neighbours and their distance in Å.
Fractional coordinates of all 9 atoms:
Bi: 0.6667 0.3333 0.5000  6 Zr 3.15, 3 Dy 3.17
Bi: 0.3333 0.6667 0.5000  6 Zr 3.15, 3 Dy 3.17
Dy: 0.7579 0.0000 0.5000  2 Fe 2.74
Dy: 0.2421 0.2421 0.5000  2 Fe 2.74
Dy: 0.0000 0.7579 0.5000  2 Fe 2.74
Fe: 0.0000 0.0000 0.0000  6 Dy 2.74
Zr: 0.3931 0.0000 0.0000  4 Bi 3.15, 1 Fe 3.22, 4 Dy 3.39
Zr: 0.0000 0.3931 0.0000  4 Bi 3.15, 1 Fe 3.22, 4 Dy 3.39
Zr: 0.6069 0.6069 0.0000  4 Bi 3.15, 1 Fe 3.22, 4 Dy 3.39